1.
Material: HfZrMo2
Method: DFT, PBE
State: relaxed

a = 4.7143 Å, b = 4.7143 Å, c = 4.7143 Å
α = 60.00°, β = 60.00°, γ = 60.00°
Fractional positions:
Mo1 0.2500 0.2500 0.2500
Mo2 0.7500 0.7500 0.7500
Hf1 0.5000 0.5000 0.5000
Zr1 0.0000 0.0000 0.0000

Summary:
Energy above the most stable polymorph in this dataset, meV per atom: 7.5
DFT formation energy, eV/atom: 0.034
Total DFT energy (no corrections), eV/f.u.: -40.03


2.
Material: IrC2
Method: DFT, PBE
State: relaxed

a = 8.5909 Å, b = 8.5909 Å, c = 8.5909 Å
α = 16.83°, β = 16.83°, γ = 16.83°
Fractional positions:
C1 0.1659 0.1659 0.1659
C2 0.4992 0.4992 0.4992
Ir1 0.0016 0.0016 0.0016

Summary:
Energy above the most stable polymorph in this dataset, meV per atom: 0.0
DFT formation energy, eV/atom: 0.590
Total DFT energy (no corrections), eV/f.u.: -25.54


3.
Material: Pm2Cd3Pb
Method: DFT, PBE
State: relaxed

a = 3.6098 Å, b = 5.0766 Å, c = 8.7476 Å
α = 90.00°, β = 90.00°, γ = 90.00°
Fractional positions:
Pm1 0.0000 0.5000 0.0011
Pm2 0.0000 0.0000 0.5000
Cd1 0.5000 0.0000 0.8279
Cd2 0.5000 0.0000 0.1539
Cd3 0.5000 0.5000 0.6795
Pb1 0.5000 0.5000 0.3377

Summary:
Energy above the most stable polymorph in this dataset, meV per atom: 16.3
DFT formation energy, eV/atom: -0.357
Total DFT energy (no corrections), eV/f.u.: -18.10


4.
Material: NbMoRu
Method: DFT, PBE
State: relaxed

a = 5.4360 Å, b = 4.5123 Å, c = 9.5164 Å
α = 90.00°, β = 124.54°, γ = 90.00°
Fractional positions:
Nb1 0.7524 0.0000 0.3352
Nb2 0.2476 0.0000 0.6648
Nb3 0.7524 0.5000 0.8352
Nb4 0.2476 0.5000 0.1648
Mo1 0.2594 0.0000 0.0035
Mo2 0.7406 0.0000 0.9965
Mo3 0.2594 0.5000 0.5035
Mo4 0.7406 0.5000 0.4965
Ru1 0.2404 0.0000 0.3245
Ru2 0.7596 0.0000 0.6755
Ru3 0.2404 0.5000 0.8245
Ru4 0.7596 0.5000 0.1755

Summary:
Energy above the most stable polymorph in this dataset, meV per atom: 71.5
DFT formation energy, eV/atom: -0.023
Total DFT energy (no corrections), eV/f.u.: -30.25


5.
Material: Fe3PbC
Method: DFT, PBE
State: relaxed

a = 3.8981 Å, b = 3.8981 Å, c = 3.8981 Å
α = 90.00°, β = 90.00°, γ = 90.00°
Fractional positions:
Pb1 0.5000 0.5000 0.5000
C1 0.0000 0.0000 0.0000
Fe1 0.0000 0.5000 0.0000
Fe2 0.0000 0.0000 0.5000
Fe3 0.5000 0.0000 0.0000

Summary:
Energy above the most stable polymorph in this dataset, meV per atom: 0.0
DFT formation energy, eV/atom: 0.332
Total DFT energy (no corrections), eV/f.u.: -36.66


6.
Material: TaAgSb
Method: DFT, PBE
State: relaxed

a = 7.5653 Å, b = 7.5653 Å, c = 7.5653 Å
α = 157.01°, β = 157.01°, γ = 32.74°
Fractional positions:
Sb1 0.3112 0.3112 0.0000
Ag1 0.0258 0.0258 0.0000
Ta1 0.6630 0.6630 0.0000

Summary:
Energy above the most stable polymorph in this dataset, meV per atom: 26.5
ΔE_f (raw), meV/atom: 344
Total DFT energy (no corrections), eV/f.u.: -17.79